Compound: Na3CoPd3O8
Source: Alexandria
Functional: GGA+U
Structure: optimized geometry

For the density of states at the Fermi level, the calculation gives 0.339 states/eV per atom. The calculation puts the raw total energy at -5.15 eV/atom.

It has space group C2/m (No. 12), with a = 10.884 Å, b = 6.094 Å, c = 6.451 Å, α = 90.00°, β = 122.35° and γ = 90.00°. The distinct sites, in fractional coordinates, are Na at (0.000, 0.000, 0.000), Na at (0.250, 0.250, 0.000), Co at (0.000, 0.000, 0.500), Pd at (0.000, 0.500, 0.500), Pd at (0.250, 0.250, 0.500), O at (0.020, 0.238, 0.317), O at (0.211, 0.000, 0.691) and O at (0.246, 0.000, 0.285).